Entry 1:
Compound: Na4Br3Cl
Source: Alexandria
Functional: PBE
Structure: optimized geometry

Cell and atoms, written as extended XYZ:
```
16
Lattice="7.3030 0.0000 0.0000 0.0000 8.4054 0.0000 -2.4171 0.0000 6.8507" Properties=species:S:1:pos:R:3 pbc="T T T"
Na 1.7417 1.0005 0.0153
Na 0.5332 7.4050 3.4407
Na 0.6055 3.1051 3.3831
Na -0.6031 5.3004 6.8085
Na 5.4890 3.1051 0.0422
Na 4.2805 5.3004 3.4676
Na 4.3528 1.0005 3.4100
Na 3.1443 7.4050 6.8354
Br -1.8128 3.1358 5.1380
Br -0.6043 5.2697 1.7127
Br 1.8387 1.0408 5.1380
Br 3.0472 3.1368 1.7127
Br 1.8387 5.2687 5.1380
Br 3.0472 7.3646 1.7127
Cl -0.6043 1.0333 1.7127
Cl -1.8128 7.3722 5.1380
```

ρ: 2.90 g cm⁻³
formation energy (no corrections): -1249 kJ/mol of formula units
energy above the most stable polymorph in this dataset: 0 meV per atom

=====

Entry 2:
Compound: Al2SiI
Source: Alexandria
Functional: PBE
Structure: optimized geometry

Cell and atoms, written as extended XYZ:
```
8
Lattice="-3.1692 3.1692 5.8790 3.1692 -3.1692 5.8790 3.1692 3.1692 -5.8790" Properties=species:S:1:pos:R:3 pbc="T T T"
Al 4.7538 1.0894 -1.4697
Al 1.0894 1.5846 1.4697
Al -1.5846 2.0798 4.4092
Al 2.0798 1.5846 7.3487
Si 0.0000 0.0000 0.0000
Si 0.0000 3.1692 2.9395
I 3.1692 0.0000 2.9395
I 0.0000 0.0000 5.8790
```

ρ: 2.94 g cm⁻³
formation energy (no corrections): 96 kJ/mol of formula units
energy above the most stable polymorph in this dataset: 0 meV per atom

=====

Entry 3:
Compound: SiPb3Se
Source: Alexandria
Functional: PBE
Structure: optimized geometry

Cell and atoms, written as extended XYZ:
```
5
Lattice="5.4637 0.0000 0.0000 0.0000 5.4637 0.0000 0.0000 0.0000 5.4637" Properties=species:S:1:pos:R:3 pbc="T T T"
Si 0.0000 0.0000 0.0000
Pb 0.0000 0.0000 2.7318
Pb 0.0000 2.7318 0.0000
Pb 2.7318 0.0000 0.0000
Se 2.7318 2.7318 2.7318
```

ρ: 7.42 g cm⁻³
formation energy (no corrections): 207 kJ/mol of formula units
energy above the most stable polymorph in this dataset: 0 meV per atom

=====

Entry 4:
Compound: NaTaO3
Source: Alexandria
Functional: PBE
Structure: optimized geometry

Cell and atoms, written as extended XYZ:
```
20
Lattice="5.1910 0.0000 0.0000 0.0000 10.7492 0.0000 0.0000 0.0000 4.7920" Properties=species:S:1:pos:R:3 pbc="T T T"
Na 0.0000 0.0000 0.0000
Na 0.0000 5.3746 0.0000
Na 2.5955 0.0000 2.3960
Na 2.5955 5.3746 2.3960
Ta 0.0734 2.6873 2.0887
Ta 2.5221 8.0619 4.4847
Ta 2.6689 2.6873 0.3073
Ta 5.1176 8.0619 2.7033
O 0.9682 8.0619 1.0772
O 1.2197 6.7891 3.5091
O 1.2197 9.3347 3.5091
O 1.3758 1.4145 1.1131
O 1.3758 3.9601 1.1131
O 1.6273 2.6873 3.4732
O 3.5637 8.0619 1.3188
O 3.8152 6.7891 3.6789
O 3.8152 9.3347 3.6789
O 3.9713 1.4145 1.2829
O 3.9713 3.9601 1.2829
O 4.2228 2.6873 3.7148
```

ρ: 6.26 g cm⁻³
formation energy (no corrections): -1195 kJ/mol of formula units

=====

Entry 5:
Compound: La4PmPr2Nd
Source: Alexandria
Functional: PBE
Structure: optimized geometry

Cell and atoms, written as extended XYZ:
```
8
Lattice="5.2625 0.0000 0.0000 0.0000 5.2811 0.0000 -0.0198 0.0000 10.4176" Properties=species:S:1:pos:R:3 pbc="T T T"
La 5.2551 0.0000 2.5975
La -0.0124 0.0000 7.8201
La 2.6254 2.6405 2.5994
La 2.6173 2.6405 7.8182
Pm 2.6312 0.0000 0.0000
Pr 0.0000 2.6405 0.0000
Pr 2.6213 0.0000 5.2088
Nd -0.0099 2.6405 5.2088
```

ρ: 6.46 g cm⁻³
ΔE_f: 11 meV per atom

=====

Entry 6:
Compound: NaSb3Te
Source: Alexandria
Functional: PBE
Structure: optimized geometry

Cell and atoms, written as extended XYZ:
```
5
Lattice="5.8199 0.0000 0.0000 0.0000 5.8199 0.0000 0.0000 0.0000 5.8199" Properties=species:S:1:pos:R:3 pbc="T T T"
Na 0.0000 0.0000 0.0000
Sb 0.0000 2.9099 2.9099
Sb 2.9099 0.0000 2.9099
Sb 2.9099 2.9099 0.0000
Te 2.9099 2.9099 2.9099
```

ρ: 4.35 g cm⁻³
formation energy (no corrections): 254 kJ/mol of formula units
energy above the most stable polymorph in this dataset: 0 meV per atom